DFT (GGA-PBE) results for a relaxed structure of K4Nd3ScO8.

Cell lengths 7.1016, 7.1016, 18.8350 Å; angles 90.00, 90.00, 120.00 degrees
Space group R-3m (No. 166, hexagonal axes)
Asymmetric unit:
K1 0.0000 0.0000 0.0000 x3
K2 0.0000 0.5000 0.0000 x9
Nd1 0.0000 0.5000 0.5000 x9
Sc1 0.0000 0.0000 0.5000 x3
O1 0.0000 0.0000 0.2313 x6
O2 0.0206 0.5103 0.2285 x18

total magnetic moment	0.00	μB/cell
DFT total energy	-6.650	eV/atom

***

DFT (GGA-PBE) results for a relaxed structure of PmY15Tm4.

Cell lengths 5.031, 5.031, 25.177 Å; angles 90.00, 90.00, 90.00 degrees
Space group P4/mmm (No. 123)
Asymmetric unit:
Pm1 0.000 0.000 0.000 x1
Y1 0.000 0.500 0.102 x4
Y2 0.000 0.500 0.301 x4
Y3 0.000 0.500 0.500 x2
Y4 0.500 0.500 0.000 x1
Y5 0.500 0.500 0.202 x2
Y6 0.500 0.500 0.400 x2
Tm1 0.000 0.000 0.201 x2
Tm2 0.000 0.000 0.400 x2

total magnetic moment	0.00	μB/cell
DFT total energy	-5.954	eV/atom
E_form	0.0261	eV/atom

***

DFT (GGA-PBE) results for a relaxed structure of LiTl12Sn6.

Cell lengths 11.7884, 11.7884, 14.3821 Å; angles 90.00, 90.00, 120.00 degrees
Space group R-3 (No. 148, hexagonal axes)
Asymmetric unit:
Li1 0.0000 0.0000 0.0000 x3
Tl1 0.0466 0.1831 0.8069 x18
Tl2 0.0660 0.8312 0.4187 x18
Sn1 0.0502 0.4535 0.7024 x18

total magnetic moment	0.00	μB/cell
DFT total energy	-2.860	eV/atom
E_form	-0.0005	eV/atom

***

DFT (GGA-PBE) results for a relaxed structure of ZrVRh5.

Cell lengths 4.029, 4.029, 6.809 Å; angles 90.00, 90.00, 90.00 degrees
Space group P4/mmm (No. 123)
Asymmetric unit:
Zr1 0.000 0.000 0.000 x1
V1 0.500 0.500 0.500 x1
Rh1 0.000 0.500 0.291 x4
Rh2 0.500 0.500 0.000 x1

total magnetic moment	0.00	μB/cell
DFT total energy	-8.116	eV/atom
E_form	-0.3407	eV/atom